First-principles (GGA+U) data for a relaxed UCrH2O6 crystal, as listed in Alexandria via LeMat-Bulk.

abc: 5.165 4.975 5.540
angles: 63.82 65.00 64.14
Site moments in Bohr magnetons follow the coordinates.
Fractional coordinates of all 10 atoms:
H1 0.912 0.127 0.756  0.00
H2 0.637 0.389 0.322  0.00
O1 0.586 0.213 0.333  -0.02
O2 0.190 0.970 0.304  -0.03
O3 0.918 0.606 0.312  -0.14
O4 0.059 0.460 0.788  -0.06
O5 0.743 0.061 0.789  -0.04
O6 0.467 0.689 0.811  -0.03
U1 0.309 0.342 0.050  0.09
Cr1 0.841 0.805 0.550  2.21

## Properties
- Crystal system: triclinic
- ρ: 5847 kg/m³
- Total magnetic moment: 2.00 μB per formula unit
- SG: P1
- Electronic total energy: -74.48 eV per cell